one) The following is a PBE-GGA calculation of ZrSbH2 after structural relaxation, from the Alexandria database.

Results
As for the space-group type: No. 8. For the magnetization, the calculation gives 0.0 Bohr magnetons per cell.

Cell: 3.4318 3.4318 5.6745 Å, 72.29 72.29 61.75°
Closest atoms and distances in Å follow each position.
Positions (direct):
Zr1 0.6891 0.6891 0.9314  6 H 2.02-2.14
Sb1 0.4966 0.4966 0.5047  5 H 2.97-3.25, 4 Zr 3.02-3.04
H1 0.0036 0.0036 0.9996  3 H 1.97-2.06, 3 Zr 2.02-2.04
H2 0.3107 0.3107 0.0644  3 H 1.97-2.06, 3 Zr 2.09-2.14

two) The following is a PBE-GGA calculation of ZrSbH2 after structural relaxation, from the Alexandria database.

Results
As for the space-group type: No. 225. For the magnetization, the calculation gives 0.0 Bohr magnetons per cell.

Cell: 4.2195 4.2195 4.2195 Å, 60.00 60.00 60.00°
Closest atoms and distances in Å follow each position.
Positions (direct):
Sb1 0.5000 0.5000 0.5000  8 H 2.58
Zr1 0.0000 0.0000 0.0000  8 H 2.58
H1 0.2500 0.2500 0.2500  4 Zr 2.58, 4 Sb 2.58
H2 0.7500 0.7500 0.7500  4 Zr 2.58, 4 Sb 2.58

Which of them is least stable? Easy: two).

one) The following is a PBE-GGA calculation of ZrSbH after structural relaxation, from the Alexandria database.

Results
As for the space-group type: No. 12. For the magnetization, the calculation gives 0.0 Bohr magnetons per cell.

Cell: 3.9826 5.5021 5.6814 Å, 107.27 90.00 111.22°
Closest atoms and distances in Å follow each position.
Positions (direct):
Sb1 0.6329 0.2657 0.2275  2 H 2.49
Sb2 0.3671 0.7343 0.7725  2 H 2.49
Zr1 0.9081 0.8163 0.1971  2 H 1.96-1.97
Zr2 0.0919 0.1837 0.8029  2 H 1.96-1.97
H1 0.9114 0.8228 0.5452  2 Zr 1.96-1.97, 1 H 2.04
H2 0.0886 0.1772 0.4548  2 Zr 1.96-1.97, 1 H 2.04

two) The following is a PBE-GGA calculation of ZrSbH after structural relaxation, from the Alexandria database.

Results
As for the space-group type: No. 187. For the magnetization, the calculation gives 0.0 Bohr magnetons per cell.

Cell: 3.9891 3.7782 3.7782 Å, 120.00 90.00 90.00°
Closest atoms and distances in Å follow each position.
Positions (direct):
Sb1 0.6666 0.3333 0.6667  6 H 2.96, 6 Zr 2.96
Zr1 0.1666 0.6667 0.3333  3 H 2.18
H1 0.1668 0.0000 0.0000  3 Zr 2.18

Which of them is least stable? Easy: one).

one) The following is a PBE-GGA calculation of ZrSb2H after structural relaxation, from the Alexandria database.

Results
As for the space-group type: No. 8. For the magnetization, the calculation gives 0.0 Bohr magnetons per cell.

Cell: 3.4015 3.4015 8.8366 Å, 90.06 101.04 120.00°
Closest atoms and distances in Å follow each position.
Positions (direct):
Zr1 0.7075 0.6037 0.3112  3 H 1.96
Sb1 0.1871 0.8428 0.0299  3 Zr 3.12, 3 H 3.15, 6 Sb 3.40
Sb2 0.5620 0.0317 0.5938  3 H 3.10, 3 Zr 3.13, 6 Sb 3.40
H1 0.0434 0.2717 0.3152  3 Zr 1.96

two) The following is a PBE-GGA calculation of ZrSb2H after structural relaxation, from the Alexandria database.

Results
As for the space-group type: No. 225. For the magnetization, the calculation gives 0.7 Bohr magnetons per cell.

Cell: 4.9390 4.9390 4.9390 Å, 60.00 60.00 60.00°
Closest atoms and distances in Å follow each position.
Positions (direct):
Sb1 0.2500 0.2500 0.2500  4 Zr 3.02, 4 H 3.02
Sb2 0.7500 0.7500 0.7500  4 Zr 3.02, 4 H 3.02
Zr1 0.5000 0.5000 0.5000  8 Sb 3.02
H1 0.0000 0.0000 0.0000  8 Sb 3.02

Which of them is least stable? Easy: two).

one) The following is a PBE-GGA calculation of Zr3SbH3 after structural relaxation, from the Alexandria database.

Results
As for the space-group type: No. 223. For the magnetization, the calculation gives 0.0 Bohr magnetons per cell.

Cell: 5.7742 5.7742 5.7742 Å, 90.00 90.00 90.00°
Closest atoms and distances in Å follow each position.
Positions (direct):
Sb1 0.5000 0.5000 0.5000  12 Zr 3.23, 12 H 3.23
Sb2 0.0000 0.0000 0.0000  12 Zr 3.23, 12 H 3.23
Zr1 0.0000 0.2500 0.5000  4 H 2.04
Zr2 0.0000 0.7500 0.5000  4 H 2.04
Zr3 0.5000 0.0000 0.7500  4 H 2.04
Zr4 0.7500 0.5000 0.0000  4 H 2.04
Zr5 0.5000 0.0000 0.2500  4 H 2.04
Zr6 0.2500 0.5000 0.0000  4 H 2.04
H1 0.2500 0.0000 0.5000  4 Zr 2.04
H2 0.0000 0.5000 0.2500  4 Zr 2.04
H3 0.5000 0.7500 0.0000  4 Zr 2.04
H4 0.7500 0.0000 0.5000  4 Zr 2.04
H5 0.0000 0.5000 0.7500  4 Zr 2.04
H6 0.5000 0.2500 0.0000  4 Zr 2.04

two) The following is a PBE-GGA calculation of Zr3SbH3 after structural relaxation, from the Alexandria database.

Results
As for the space-group type: No. 148. For the magnetization, the calculation gives 0.0 Bohr magnetons per cell.

Cell: 6.0034 6.0034 7.6720 Å, 66.97 66.97 60.00°
Closest atoms and distances in Å follow each position.
Positions (direct):
Zr1 0.2157 0.5849 0.2981  4 H 2.08-2.17
Zr2 0.9014 0.2157 0.2981  4 H 2.08-2.17
Zr3 0.5849 0.9014 0.2981  4 H 2.08-2.17
Zr4 0.4151 0.0986 0.7019  4 H 2.08-2.17
Zr5 0.0986 0.7843 0.7019  4 H 2.08-2.17
Zr6 0.7843 0.4151 0.7019  4 H 2.08-2.17
Sb1 0.3337 0.3337 0.9989  6 Zr 2.89-2.90
Sb2 0.6663 0.6663 0.0011  6 Zr 2.89-2.90
H1 0.4744 0.7905 0.6015  4 Zr 2.08-2.17
H2 0.7905 0.1336 0.6015  4 Zr 2.08-2.17
H3 0.1336 0.4744 0.6015  4 Zr 2.08-2.17
H4 0.8664 0.5256 0.3985  4 Zr 2.08-2.17
H5 0.2095 0.8664 0.3985  4 Zr 2.08-2.17
H6 0.5256 0.2095 0.3985  4 Zr 2.08-2.17

Which of them is least stable? Easy: two).